Record 1
## BaIrCl2 (PBE-GGA)

Data for BaIrCl2 after structural relaxation.

Lattice parameters (Å, degrees): 5.889 5.889 4.892 93.52 93.52 46.34
Fractional positions:
Ir (0.750, 0.750, 0.750)
Ba (0.250, 0.250, 0.250)
Cl (0.930, 0.930, 0.011)
Cl (0.570, 0.570, 0.489)

crystal system = monoclinic
offset from the most stable computed form = 0 meV/atom



Record 2
## SrPrPtAu (PBE-GGA)

Data for SrPrPtAu after structural relaxation.

Lattice parameters (Å, degrees): 4.091 4.571 6.118 90.00 109.53 90.00
Fractional positions:
Sr (0.142, 0.000, 0.284)
Pr (0.866, 0.500, 0.733)
Pt (0.412, 0.000, 0.823)
Au (0.580, 0.500, 0.160)

E_form = -0.8655 eV per atom
crystal system = orthorhombic
offset from the most stable computed form = 0 meV/atom



Record 3
## CaFe4Co (PBE-GGA)

Data for CaFe4Co after structural relaxation.

Lattice parameters (Å, degrees): 4.931 4.931 4.931 60.00 60.00 60.00
Fractional positions:
Ca (0.750, 0.750, 0.750)
Fe (0.876, 0.375, 0.375)
Fe (0.375, 0.375, 0.876)
Fe (0.375, 0.876, 0.375)
Fe (0.375, 0.375, 0.375)
Co (0.000, 0.000, 0.000)

E_form = 0.2770 eV per atom
crystal system = cubic



Record 4
## Sr3MnN (PBE-GGA)

Data for Sr3MnN after structural relaxation.

Lattice parameters (Å, degrees): 5.227 5.227 5.227 90.00 90.00 90.00
Fractional positions:
Sr (0.000, 0.500, 0.000)
Sr (0.000, 0.000, 0.500)
Sr (0.500, 0.000, 0.000)
Mn (0.500, 0.500, 0.500)
N (0.000, 0.000, 0.000)

crystal system = cubic
offset from the most stable computed form = 0 meV/atom